No. 1
{
  "formula": "LaHfF7",
  "functional": "meta-GGA SCAN",
  "state": "single point on PBEsol structure",
  "cell": [[-3.0260, -4.0557, 2.9853], [5.3210, -2.0172, 2.6530], [-2.6034, 5.9429, 5.4350]],
  "species": ["F", "F", "F", "F", "F", "F", "La", "F", "F", "F", "Hf", "La", "F", "F", "F", "Hf", "F", "F"],
  "frac_coords": [[0.1147, 0.4420, 0.4752], [0.6147, 0.5580, 0.5248], [0.0211, 0.4251, 0.7889], [0.0564, 0.0417, 0.2311], [0.5341, 0.4007, 0.7934], [0.2990, 0.7660, 0.9843], [0.3000, 0.6589, 0.6892], [0.5564, 0.9583, 0.7689], [0.7990, 0.2340, 0.0157], [0.0256, 0.9543, 0.7565], [0.7911, 0.1893, 0.7761], [0.8000, 0.3412, 0.3108], [0.2816, 0.8540, 0.4634], [0.5211, 0.5749, 0.2111], [0.7816, 0.1460, 0.5366], [0.2911, 0.8107, 0.2239], [0.0341, 0.5993, 0.2066], [0.5256, 0.0457, 0.2435]],
  "e_form_raw_ev_per_atom": -4.210,
  "vol_a3_per_fu": 152.5,
  "spacegroup": "P2_1, No. 4"
}

=====

No. 2
{
  "formula": "La2MgRu",
  "functional": "meta-GGA SCAN",
  "state": "single point on PBEsol structure",
  "cell": [[-0.3068, -2.6009, 2.1474], [4.8332, -0.9848, -0.5022], [-1.0049, 5.5536, 3.9121]],
  "species": ["Mg", "La", "Ru", "La"],
  "frac_coords": [[0.5698, 0.5698, 0.1397], [0.7457, 0.2457, 0.4915], [0.2475, 0.7475, 0.4949], [0.9370, 0.9370, 0.8739]],
  "vol_a3_per_fu": 103.7,
  "formation_energy_ev_per_atom": -0.15,
  "spacegroup": "Imm2, No. 44"
}

=====

No. 3
{
  "formula": "TlMoC2",
  "functional": "meta-GGA SCAN",
  "state": "single point on PBEsol structure",
  "cell": [[-2.9006, 2.8533, 0.2190], [-1.4867, 1.1199, 3.6247], [0.8739, 3.6818, 1.5111]],
  "species": ["C", "C", "Tl", "Mo"],
  "frac_coords": [[0.2500, 0.2500, 0.2500], [0.7500, 0.7500, 0.7500], [0.5000, 0.5000, 0.5000], [0.0000, 0.0000, 0.0000]],
  "de_polymorph_ev_per_atom": 1.3195,
  "vol_a3_per_fu": 47.8,
  "formation_energy_ev_per_atom": 2.36,
  "spacegroup": "Fm-3m, No. 225"
}

=====

No. 4
{
  "formula": "BeP2SF",
  "functional": "meta-GGA SCAN",
  "state": "single point on PBEsol structure",
  "cell": [[-1.3851, 2.2102, 2.8963], [-0.2231, -3.1442, 2.2926], [4.9400, 0.8816, 1.6898]],
  "species": ["Be", "F", "P", "S", "P"],
  "frac_coords": [[0.5000, 0.5000, 0.5000], [0.0000, 0.0000, 0.0000], [0.5000, 0.0000, 0.0000], [0.0000, 0.0000, 0.5000], [0.0000, 0.5000, 0.0000]],
  "e_form_raw_ev_per_atom": 1.018,
  "vol_a3_per_fu": 80.4,
  "spacegroup": "P4/mmm, No. 123"
}

=====

No. 5
{
  "formula": "Sc2Ir",
  "functional": "meta-GGA SCAN",
  "state": "single point on PBEsol structure",
  "cell": [[-0.3874, 2.8216, -1.9726], [-5.3039, -2.0921, 1.0914], [-0.3390, 3.5236, 5.1067]],
  "species": ["Sc", "Sc", "Ir", "Sc", "Sc", "Ir"],
  "frac_coords": [[0.2100, 0.4200, 0.5263], [0.7900, 0.5800, 0.0263], [0.8818, 0.7636, 0.4274], [0.4773, 0.9545, 0.7118], [0.5227, 0.0455, 0.2118], [0.1182, 0.2364, 0.9274]],
  "vol_a3_per_fu": 59.6,
  "formation_energy_ev_per_atom": -0.85,
  "spacegroup": "Cmc2_1, No. 36"
}

=====

No. 6
{
  "formula": "RbTaW3",
  "functional": "meta-GGA SCAN",
  "state": "single point on PBEsol structure",
  "cell": [[4.9112, 0.0000, 0.0000], [0.0000, 4.9112, 0.0000], [0.0000, 0.0000, 4.9112]],
  "species": ["W", "Ta", "W", "W", "Rb"],
  "frac_coords": [[0.0000, 0.0000, 0.5000], [0.0000, 0.0000, 0.0000], [0.5000, 0.0000, 0.0000], [0.0000, 0.5000, 0.0000], [0.5000, 0.5000, 0.5000]],
  "vol_a3_per_fu": 118.5,
  "formation_energy_ev_per_atom": 2.61,
  "spacegroup": "Pm-3m, No. 221"
}

=====

No. 7
{
  "formula": "Li2CrRe",
  "functional": "meta-GGA SCAN",
  "state": "single point on PBEsol structure",
  "cell": [[3.3734, 0.0000, 0.0000], [0.0000, 3.3734, 0.0000], [0.0000, 0.0000, 4.5336]],
  "species": ["Li", "Li", "Re", "Cr"],
  "frac_coords": [[0.5000, 0.0000, 0.0000], [0.0000, 0.5000, 0.0000], [0.5000, 0.5000, 0.5000], [0.0000, 0.0000, 0.5000]],
  "de_polymorph_ev_per_atom": 0.1001,
  "vol_a3_per_fu": 51.6,
  "formation_energy_ev_per_atom": 0.40,
  "spacegroup": "P4/mmm, No. 123"
}

=====

No. 8
{
  "formula": "TlTe2",
  "functional": "meta-GGA SCAN",
  "state": "single point on PBEsol structure",
  "cell": [[-1.6900, -3.0927, -3.4925], [3.2213, -4.4759, 2.4047], [-5.7285, -1.7846, 4.3522]],
  "species": ["Te", "Te", "Tl", "Tl", "Te", "Te"],
  "frac_coords": [[0.5000, 0.6873, 0.8986], [0.0000, 0.8127, 0.3986], [0.0000, 0.0000, 0.0000], [0.5000, 0.5000, 0.5000], [0.5000, 0.3127, 0.1014], [0.0000, 0.1873, 0.6014]],
  "de_polymorph_ev_per_atom": 0.0847,
  "e_form_raw_ev_per_atom": -0.043,
  "vol_a3_per_fu": 110.6,
  "spacegroup": "Pnnm, No. 58"
}

=====

No. 9
{
  "formula": "NaSc2Nb2",
  "functional": "meta-GGA SCAN",
  "state": "single point on PBEsol structure",
  "cell": [[4.1295, 0.0000, 0.0000], [0.0000, 4.1295, 0.0000], [-2.0648, -2.0648, 6.6398]],
  "species": ["Sc", "Nb", "Na", "Sc", "Nb"],
  "frac_coords": [[0.2500, 0.7500, 0.5000], [0.5874, 0.5874, 0.1749], [0.0000, 0.0000, 0.0000], [0.7500, 0.2500, 0.5000], [0.4126, 0.4126, 0.8251]],
  "vol_a3_per_fu": 113.2,
  "formation_energy_ev_per_atom": 0.92,
  "spacegroup": "I4/mmm, No. 139"
}

=====

No. 10
{
  "formula": "BaZnHg3",
  "functional": "meta-GGA SCAN",
  "state": "single point on PBEsol structure",
  "cell": [[5.1817, 0.0000, 0.0000], [0.0000, 5.1817, 0.0000], [0.0000, 0.0000, 5.1817]],
  "species": ["Zn", "Ba", "Hg", "Hg", "Hg"],
  "frac_coords": [[0.0000, 0.0000, 0.0000], [0.5000, 0.5000, 0.5000], [0.0000, 0.0000, 0.5000], [0.5000, 0.0000, 0.0000], [0.0000, 0.5000, 0.0000]],
  "vol_a3_per_fu": 139.1,
  "formation_energy_ev_per_atom": -0.35,
  "spacegroup": "Pm-3m, No. 221"
}

=====

No. 11
{
  "formula": "ZnCd2Ru",
  "functional": "meta-GGA SCAN",
  "state": "single point on PBEsol structure",
  "cell": [[-2.1856, -0.2481, -3.3853], [3.1637, -1.6078, -1.9247], [-1.6985, -2.7053, 3.7021]],
  "species": ["Ru", "Zn", "Cd", "Cd"],
  "frac_coords": [[0.5000, 0.5000, 0.0000], [0.2500, 0.7500, 0.5000], [0.0000, 0.0000, 0.0000], [0.7500, 0.2500, 0.5000]],
  "vol_a3_per_fu": 64.7,
  "formation_energy_ev_per_atom": 0.21,
  "spacegroup": "I-4m2, No. 119"
}

=====

No. 12
{
  "formula": "MgTa2Cl",
  "functional": "meta-GGA SCAN",
  "state": "single point on PBEsol structure",
  "cell": [[-0.0444, -1.6756, -2.3670], [4.0621, -1.5643, 2.8083], [-4.5871, -2.2786, 1.6990]],
  "species": ["Ta", "Cl", "Mg", "Ta"],
  "frac_coords": [[0.0279, 0.0558, 0.0313], [0.4638, 0.9276, 0.6065], [0.2130, 0.4260, 0.6630], [0.7953, 0.5906, 0.1992]],
  "de_polymorph_ev_per_atom": 0.0000,
  "e_form_raw_ev_per_atom": 0.287,
  "vol_a3_per_fu": 71.9,
  "spacegroup": "Cm, No. 8"
}

=====

No. 13
{
  "formula": "NiPbAu2",
  "functional": "meta-GGA SCAN",
  "state": "single point on PBEsol structure",
  "cell": [[3.1172, 0.0000, 0.0000], [0.0000, 4.3817, 0.0000], [-1.5586, -2.1909, 5.1705]],
  "species": ["Au", "Au", "Pb", "Ni"],
  "frac_coords": [[0.7927, 0.7927, 0.5855], [0.2073, 0.2073, 0.4145], [0.0000, 0.5000, 0.0000], [0.5000, 0.0000, 0.0000]],
  "vol_a3_per_fu": 70.6,
  "formation_energy_ev_per_atom": 0.12,
  "spacegroup": "Immm, No. 71"
}

=====

No. 14
{
  "formula": "AlCo2",
  "functional": "meta-GGA SCAN",
  "state": "single point on PBEsol structure",
  "cell": [[2.7769, 0.0000, 0.0000], [0.0000, 3.9718, 0.0000], [0.0000, -1.9859, 5.9944]],
  "species": ["Co", "Al", "Co", "Co", "Co", "Al"],
  "frac_coords": [[0.5000, 0.8350, 0.6701], [0.0000, 0.6651, 0.3302], [0.0000, 0.0000, 0.0000], [0.5000, 0.1650, 0.3299], [0.5000, 0.5000, 0.0000], [0.0000, 0.3349, 0.6698]],
  "vol_a3_per_fu": 33.1,
  "formation_energy_ev_per_atom": -0.39,
  "spacegroup": "Cmmm, No. 65"
}

=====

No. 15
{
  "formula": "SrCd2Au2",
  "functional": "meta-GGA SCAN",
  "state": "single point on PBEsol structure",
  "cell": [[-2.9758, 2.5430, -1.7430], [-3.0203, -2.8909, 0.9386], [2.0765, 2.9739, 6.0606]],
  "species": ["Au", "Cd", "Au", "Sr", "Cd"],
  "frac_coords": [[0.3944, 0.3944, 0.7888], [0.2500, 0.7500, 0.5000], [0.6056, 0.6056, 0.2112], [0.0000, 0.0000, 0.0000], [0.7500, 0.2500, 0.5000]],
  "vol_a3_per_fu": 117.1,
  "formation_energy_ev_per_atom": -0.63,
  "spacegroup": "I4/mmm, No. 139"
}

=====

No. 16
{
  "formula": "MnFe5",
  "functional": "meta-GGA SCAN",
  "state": "single point on PBEsol structure",
  "cell": [[2.4331, 0.0000, 0.0000], [0.0000, 3.8410, 0.0000], [-1.2165, 0.0000, 6.3148]],
  "species": ["Fe", "Fe", "Fe", "Fe", "Fe", "Mn"],
  "frac_coords": [[0.4444, 0.5000, 0.8888], [0.7785, 0.5000, 0.5570], [0.0000, 0.0000, 0.0001], [0.6669, 0.0000, 0.3337], [0.3331, 0.0000, 0.6662], [0.1104, 0.5000, 0.2208]],
  "vol_a3_per_fu": 59.0,
  "formation_energy_ev_per_atom": 0.26,
  "spacegroup": "Amm2, No. 38"
}

=====

No. 17
{
  "formula": "CsRbAuBr2",
  "functional": "meta-GGA SCAN",
  "state": "single point on PBEsol structure",
  "cell": [[5.6885, 0.0000, 0.0000], [0.0000, 6.2926, 0.0000], [0.0000, 0.0000, 6.2926]],
  "species": ["Au", "Cs", "Br", "Br", "Rb"],
  "frac_coords": [[0.5000, 0.0000, 0.0000], [0.5000, 0.5000, 0.5000], [0.0000, 0.5000, 0.0000], [0.0000, 0.0000, 0.5000], [0.0000, 0.0000, 0.0000]],
  "e_form_raw_ev_per_atom": -0.740,
  "vol_a3_per_fu": 225.2,
  "spacegroup": "P4/mmm, No. 123"
}

=====

No. 18
{
  "formula": "HfScAg2",
  "functional": "meta-GGA SCAN",
  "state": "single point on PBEsol structure",
  "cell": [[-4.0280, 0.4991, 2.4839], [-3.2741, -3.4527, -0.0575], [-0.7406, -2.6416, 3.8881]],
  "species": ["Ag", "Sc", "Hf", "Ag"],
  "frac_coords": [[0.7500, 0.7500, 0.7500], [0.0000, 0.0000, 0.0000], [0.5000, 0.5000, 0.5000], [0.2500, 0.2500, 0.2500]],
  "vol_a3_per_fu": 76.2,
  "formation_energy_ev_per_atom": -0.12,
  "spacegroup": "Fm-3m, No. 225"
}

=====

No. 19
{
  "formula": "InSn3Os",
  "functional": "meta-GGA SCAN",
  "state": "single point on PBEsol structure",
  "cell": [[5.3179, 0.0000, 0.0000], [0.0000, 5.3179, 0.0000], [0.0000, 0.0000, 5.3179]],
  "species": ["In", "Sn", "Os", "Sn", "Sn"],
  "frac_coords": [[0.0000, 0.0000, 0.0000], [0.0000, 0.5000, 0.0000], [0.5000, 0.5000, 0.5000], [0.5000, 0.0000, 0.0000], [0.0000, 0.0000, 0.5000]],
  "vol_a3_per_fu": 150.4,
  "formation_energy_ev_per_atom": 1.85,
  "spacegroup": "Pm-3m, No. 221"
}

=====

No. 20
{
  "formula": "CdPt5",
  "functional": "meta-GGA SCAN",
  "state": "single point on PBEsol structure",
  "cell": [[2.7991, 0.0000, 0.0000], [0.0000, 2.7991, 0.0000], [0.0000, 0.0000, 11.8625]],
  "species": ["Pt", "Pt", "Pt", "Pt", "Cd", "Pt"],
  "frac_coords": [[0.5000, 0.5000, 0.1612], [0.0000, 0.0000, 0.3253], [0.0000, 0.0000, 0.6747], [0.0000, 0.0000, 0.0000], [0.5000, 0.5000, 0.5000], [0.5000, 0.5000, 0.8388]],
  "vol_a3_per_fu": 92.9,
  "formation_energy_ev_per_atom": -0.07,
  "spacegroup": "P4/mmm, No. 123"
}

=====

N(E_F) values, unit states/eV/atom, following the record order: 0.00; 0.56; 0.73; 0.68; 0.72; 1.47; 0.46; 0.37; 1.36; 0.50; 0.77; 0.59; 0.45; 0.40; 0.41; 0.87; 1.07; 0.86; 0.95; 1.18.
Total moment values, unit μB/atom, following the record order: 0.01; 0.00; 0.38; 0.00; 0.00; 0.00; 0.26; 0.00; 0.00; 0.00; 0.00; 0.00; 0.00; 0.87; 0.00; 0.09; 0.00; 0.00; 0.44; 0.16.
Raw total energy values, unit eV/atom, following the record order: -18.717; -31.652; -29.502; -6.646; -34.040; -56.669; -23.168; -48.996; -18.866; -51.861; -27.080; -36.242; -57.444; -14.509; -44.909; -17.886; -34.065; -35.028; -40.756; -63.634.